(1)
A geometry-optimized SrLaSb2 structure, computed with GGA-PBE.

Summary:
DFT total energy (eV per cell): -18.75
Space group: Pmmm, No. 47
Uncorrected formation energy (eV/f.u.): -3.90

a b c (Å): 4.6597 4.6970 6.6243
angles (deg): 90.00 90.00 90.00
Sites, in units of the cell vectors:
Sb: 0.0000 0.0000 0.8748
Sb: 0.5000 0.5000 0.3753
La: 0.5000 0.5000 0.8752
Sr: 0.0000 0.0000 0.3748

(2)
A geometry-optimized SrLaSb2 structure, computed with GGA-PBE.

Summary:
DFT total energy (eV per cell): -15.74
Space group: P4mm, No. 99
Uncorrected formation energy (eV/f.u.): -0.88

a b c (Å): 3.6128 3.6128 11.0848
angles (deg): 90.00 90.00 90.00
Sites, in units of the cell vectors:
La: 0.5000 0.5000 0.7948
Sr: 0.0000 0.0000 0.4630
Sb: 0.5000 0.5000 0.2605
Sb: 0.0000 0.0000 0.9817

(3)
A geometry-optimized SrLaSb2 structure, computed with GGA-PBE.

Summary:
DFT total energy (eV per cell): -36.32
Space group: I-42d, No. 122
Uncorrected formation energy (eV/f.u.): -3.31

a b c (Å): 8.6434 8.6434 7.1913
angles (deg): 53.06 53.06 90.00
Sites, in units of the cell vectors:
Sb: 0.8750 0.8808 0.7500
Sb: 0.3750 0.3692 0.7500
Sb: 0.1192 0.6250 0.2500
Sr: 0.5000 0.5000 0.0000
La: 0.7500 0.2500 0.5000
Sb: 0.6308 0.1250 0.2500
La: 0.0000 0.0000 0.0000
Sr: 0.2500 0.7500 0.5000

(4)
A geometry-optimized SrLa5Sb6 structure, computed with GGA-PBE.

Summary:
DFT total energy (eV per cell): -65.34
Space group: C2/m, No. 12
Uncorrected formation energy (eV/f.u.): -14.29

a b c (Å): 8.0512 8.0512 8.0548
angles (deg): 99.59 99.59 120.06
Sites, in units of the cell vectors:
Sb: 0.9151 0.5745 0.7461
La: 0.3327 0.6673 0.0000
Sb: 0.2565 0.2565 0.7471
Sr: 0.0000 0.0000 0.0000
La: 0.1645 0.8355 0.5000
Sb: 0.0849 0.4255 0.2539
Sb: 0.7435 0.7435 0.2529
La: 0.8355 0.1645 0.5000
La: 0.5000 0.5000 0.5000
Sb: 0.5745 0.9151 0.7461
Sb: 0.4255 0.0849 0.2539
La: 0.6673 0.3327 0.0000

(5)
A geometry-optimized SrLaSb structure, computed with GGA-PBE.

Summary:
DFT total energy (eV per cell): -12.70
Space group: I4mm, No. 107
Uncorrected formation energy (eV/f.u.): -1.96

a b c (Å): 7.5824 7.5826 4.0840
angles (deg): 74.37 74.37 31.25
Sites, in units of the cell vectors:
Sr: 0.3026 0.3025 0.6974
Sb: 0.6537 0.6536 0.3463
La: 0.0437 0.0439 0.9563

(6)
A geometry-optimized SrLa4Sb structure, computed with GGA-PBE.

Summary:
DFT total energy (eV per cell): -25.13
Space group: F-43m, No. 216
Uncorrected formation energy (eV/f.u.): 0.39

a b c (Å): 6.7470 6.7470 6.7470
angles (deg): 60.00 60.00 60.00
Sites, in units of the cell vectors:
La: 0.3751 0.3751 0.8747
Sr: 0.0000 0.0000 0.0000
La: 0.3751 0.3751 0.3751
La: 0.3751 0.8747 0.3751
Sb: 0.7500 0.7500 0.7500
La: 0.8747 0.3751 0.3751

(7)
A geometry-optimized SrLa3Sb structure, computed with GGA-PBE.

Summary:
DFT total energy (eV per cell): -17.17
Space group: Pm-3m, No. 221
Uncorrected formation energy (eV/f.u.): 3.42

a b c (Å): 5.7592 5.7592 5.7592
angles (deg): 90.00 90.00 90.00
Sites, in units of the cell vectors:
La: 0.0000 0.0000 0.5000
La: 0.0000 0.5000 0.0000
Sr: 0.0000 0.0000 0.0000
Sb: 0.5000 0.5000 0.5000
La: 0.5000 0.0000 0.0000

(8)
A geometry-optimized SrLa3Sb structure, computed with GGA-PBE.

Summary:
DFT total energy (eV per cell): -21.45
Space group: Pm-3m, No. 221
Uncorrected formation energy (eV/f.u.): -0.86

a b c (Å): 6.1661 6.1661 6.1661
angles (deg): 90.00 90.00 90.00
Sites, in units of the cell vectors:
Sb: 0.0000 0.0000 0.0000
La: 0.0000 0.5000 0.0000
Sr: 0.5000 0.5000 0.5000
La: 0.0000 0.0000 0.5000
La: 0.5000 0.0000 0.0000